Crystalline DyIn3I6 at its relaxed geometry, computed with GGA-PBE.

Values from the calculation:
**Total moment**: 0.00 μB/atom
**Electronic total energy**: -3.039 eV per atom
**Space group**: P2_1/c, No. 14
**Uncorrected formation energy**: -0.827 eV per atom

Cell: 8.0895 9.1698 11.8952 Å, 90.00 85.23 90.00°
Last column: nearest neighbours and their distance in Å.
Atoms (fractional coordinates):
In 0.5000 0.5000 0.0000  6 I 3.44-3.51
I 0.3449 0.7806 0.4193  1 Dy 3.05
I 0.6879 0.1663 0.9523  1 Dy 3.04
I 0.3493 0.5614 0.7378  1 Dy 3.04
I 0.1879 0.3337 0.4523  1 Dy 3.04
I 0.8493 0.9386 0.2378  1 Dy 3.04
In 0.4657 0.0992 0.2207  6 I 3.46-3.83
In 0.0000 0.0000 0.5000  6 I 3.44-3.51
In 0.5343 0.9008 0.7793  6 I 3.46-3.83
I 0.3121 0.8337 0.0477  1 Dy 3.04
I 0.1551 0.2806 0.0807  1 Dy 3.05
I 0.6507 0.4386 0.2622  1 Dy 3.04
In 0.9657 0.4008 0.7207  6 I 3.46-3.83
I 0.8121 0.6663 0.5477  1 Dy 3.04
I 0.8449 0.7194 0.9193  1 Dy 3.05
In 0.0343 0.5992 0.2793  6 I 3.46-3.83
I 0.1507 0.0614 0.7622  1 Dy 3.04
Dy 0.0000 0.0000 0.0000  6 I 3.04-3.05
Dy 0.5000 0.5000 0.5000  6 I 3.04-3.05
I 0.6551 0.2194 0.5807  1 Dy 3.05